A geometry-optimized CrPtW2N structure. Source: Alexandria, functional PBE-GGA.

a b c (Å): 4.094 4.094 3.918
angles (deg): 90.00 90.00 90.00
Atoms (fractional coordinates):
W 0.500 0.000 0.000
Pt 0.500 0.500 0.500
N 0.000 0.000 0.000
Cr 0.000 0.000 0.500
W 0.000 0.500 0.000

Computed properties:
Total magnetization = 0.0 μB/cell
Final energy = -10.17 eV/atom